Entry 1:
Material: Ag2Se
Method: DFT, PBE
State: optimized geometry

Cell lengths 4.501, 4.501, 4.501 Å; angles 60.00, 60.00, 60.00 degrees
Atoms (fractional coordinates):
Ag1 0.000 0.000 0.000
Ag2 0.250 0.250 0.250
Se1 0.750 0.750 0.750

Uncorrected energy (eV per atom): -3.02

---

Entry 2:
Material: LiHfPd2
Method: DFT, PBE
State: optimized geometry

Cell lengths 4.402, 4.402, 8.103 Å; angles 90.00, 90.00, 120.00 degrees
Atoms (fractional coordinates):
Li1 0.000 0.000 0.250
Li2 0.000 0.000 0.750
Hf1 0.333 0.667 0.250
Hf2 0.667 0.333 0.750
Pd1 0.333 0.667 0.586
Pd2 0.333 0.667 0.914
Pd3 0.667 0.333 0.086
Pd4 0.667 0.333 0.414

Relative energy among the computed polymorphs (meV/atom): 375

---

Entry 3:
Material: MgSnIr2
Method: DFT, PBE
State: optimized geometry

Cell lengths 4.499, 4.499, 4.499 Å; angles 60.00, 60.00, 60.00 degrees
Atoms (fractional coordinates):
Mg1 0.000 0.000 0.000
Sn1 0.500 0.500 0.500
Ir1 0.250 0.250 0.250
Ir2 0.750 0.750 0.750

Relative energy among the computed polymorphs (meV/atom): 0

---

Entry 4:
Material: HoTmPd
Method: DFT, PBE
State: optimized geometry

Cell lengths 6.995, 4.817, 8.691 Å; angles 90.00, 90.00, 90.00 degrees
Atoms (fractional coordinates):
Ho1 0.147 0.250 0.080
Ho2 0.353 0.750 0.580
Ho3 0.647 0.250 0.420
Ho4 0.853 0.750 0.920
Tm1 0.016 0.250 0.672
Tm2 0.484 0.750 0.172
Tm3 0.516 0.250 0.828
Tm4 0.984 0.750 0.328
Pd1 0.238 0.250 0.404
Pd2 0.262 0.750 0.904
Pd3 0.738 0.250 0.096
Pd4 0.762 0.750 0.596

Relative energy among the computed polymorphs (meV/atom): 8
Energy relative to the elements (eV/atom): -0.651